{
  "formula": "Li5CdPd",
  "functional": "GGA-PBE",
  "state": "relaxed",
  "dos_ef_per_ev_atom": 0.21,
  "magmom_total_mub_per_atom": 0.00,
  "dft_energy_ha_per_atom": -0.090,
  "lattice": [[-2.501, 2.112, -3.648], [2.254, -2.537, -3.537], [-6.933, -7.104, -0.535]],
  "species": ["Li", "Li", "Li", "Li", "Li", "Li", "Li", "Li", "Li", "Li", "Cd", "Cd", "Pd", "Pd"],
  "fractional_positions": [[0.547, 0.881, 0.121], [0.469, 0.200, 0.576], [0.881, 0.547, 0.621], [0.060, 0.940, 0.250], [0.800, 0.531, 0.924], [0.200, 0.469, 0.076], [0.940, 0.060, 0.750], [0.119, 0.453, 0.379], [0.531, 0.800, 0.424], [0.453, 0.119, 0.879], [0.654, 0.346, 0.250], [0.346, 0.654, 0.750], [0.000, 0.000, 0.000], [0.000, 0.000, 0.500]]
}



{
  "formula": "Li7CdPd2",
  "functional": "GGA-PBE",
  "state": "relaxed",
  "dos_ef_per_ev_atom": 0.49,
  "magmom_total_mub_per_atom": 0.00,
  "dft_energy_ha_per_atom": -0.092,
  "lattice": [[-1.086, 4.412, 1.182], [-6.921, -1.647, -0.213], [3.223, -0.890, 6.283]],
  "species": ["Li", "Li", "Li", "Li", "Li", "Li", "Li", "Cd", "Pd", "Pd"],
  "fractional_positions": [[0.000, 0.661, 0.339], [0.000, 0.339, 0.661], [0.500, 0.065, 0.313], [0.500, 0.935, 0.687], [0.500, 0.313, 0.065], [0.500, 0.687, 0.935], [0.500, 0.500, 0.500], [0.000, 0.000, 0.000], [0.500, 0.706, 0.294], [0.500, 0.294, 0.706]]
}



{
  "formula": "Li3CdPd4",
  "functional": "GGA-PBE",
  "state": "relaxed",
  "dos_ef_per_ev_atom": 0.30,
  "magmom_total_mub_per_atom": 0.00,
  "dft_energy_ha_per_atom": -0.131,
  "lattice": [[-4.085, -0.214, 4.035], [2.041, -4.351, -3.148], [4.370, 1.531, 3.402]],
  "species": ["Li", "Li", "Li", "Cd", "Pd", "Pd", "Pd", "Pd"],
  "fractional_positions": [[0.628, 0.194, 0.823], [0.903, 0.000, 0.903], [0.628, 0.806, 0.434], [0.998, 0.500, 0.498], [0.324, 0.690, 0.014], [0.324, 0.310, 0.635], [0.923, 0.750, 0.173], [0.422, 0.250, 0.173]]
}



{
  "formula": "Li5Cd2Pd3",
  "functional": "GGA-PBE",
  "state": "relaxed",
  "dos_ef_per_ev_atom": 0.21,
  "magmom_total_mub_per_atom": 0.00,
  "dft_energy_ha_per_atom": -0.109,
  "lattice": [[-5.033, 1.125, -0.655], [-1.669, -0.350, -8.408], [-4.547, -6.756, 2.700]],
  "species": ["Li", "Li", "Li", "Li", "Li", "Li", "Li", "Li", "Li", "Li", "Cd", "Cd", "Cd", "Cd", "Pd", "Pd", "Pd", "Pd", "Pd", "Pd"],
  "fractional_positions": [[0.403, 0.255, 0.939], [0.903, 0.939, 0.255], [0.597, 0.745, 0.061], [0.097, 0.061, 0.745], [0.493, 0.757, 0.757], [0.507, 0.243, 0.243], [0.750, 0.500, 0.500], [0.250, 0.500, 0.500], [0.007, 0.243, 0.243], [0.993, 0.757, 0.757], [0.101, 0.581, 0.218], [0.601, 0.218, 0.581], [0.899, 0.419, 0.782], [0.399, 0.782, 0.419], [0.300, 0.539, 0.861], [0.800, 0.861, 0.539], [0.700, 0.461, 0.139], [0.200, 0.139, 0.461], [0.250, 0.000, 0.000], [0.750, 0.000, 0.000]]
}



{
  "formula": "Li5Cd6Pd",
  "functional": "GGA-PBE",
  "state": "relaxed",
  "dos_ef_per_ev_atom": 0.30,
  "magmom_total_mub_per_atom": 0.00,
  "dft_energy_ha_per_atom": -0.073,
  "lattice": [[-3.911, -2.252, -0.772], [0.334, -2.726, 6.259], [-5.501, 4.173, 2.111]],
  "species": ["Cd", "Cd", "Cd", "Cd", "Cd", "Cd", "Pd", "Li", "Li", "Li", "Li", "Li"],
  "fractional_positions": [[0.833, 0.753, 0.335], [0.833, 0.247, 0.335], [0.500, 0.253, 0.000], [0.500, 0.747, 0.000], [0.167, 0.753, 0.665], [0.167, 0.247, 0.665], [0.000, 0.000, 0.000], [0.671, 0.500, 0.658], [0.339, 0.000, 0.322], [0.000, 0.500, 0.000], [0.661, 0.000, 0.678], [0.329, 0.500, 0.342]]
}



{
  "formula": "LiCdPd3",
  "functional": "GGA-PBE",
  "state": "relaxed",
  "dos_ef_per_ev_atom": 0.38,
  "magmom_total_mub_per_atom": 0.00,
  "dft_energy_ha_per_atom": -0.134,
  "lattice": [[-0.659, 4.219, 0.639], [-4.266, -0.665, -0.011], [0.087, -0.633, 4.270]],
  "species": ["Li", "Pd", "Pd", "Pd", "Cd"],
  "fractional_positions": [[0.000, 0.000, 0.000], [0.000, 0.500, 0.000], [0.000, 0.000, 0.500], [0.500, 0.000, 0.000], [0.500, 0.500, 0.500]]
}



{
  "formula": "Li7CdPd3",
  "functional": "GGA-PBE",
  "state": "relaxed",
  "dos_ef_per_ev_atom": 0.30,
  "magmom_total_mub_per_atom": 0.00,
  "dft_energy_ha_per_atom": -0.111,
  "lattice": [[-1.479, -1.115, -2.182], [1.727, -9.290, 5.453], [-9.609, 1.566, 5.713]],
  "species": ["Li", "Li", "Li", "Li", "Li", "Li", "Li", "Li", "Li", "Li", "Li", "Li", "Li", "Li", "Cd", "Cd", "Pd", "Pd", "Pd", "Pd", "Pd", "Pd"],
  "fractional_positions": [[0.403, 0.806, 0.750], [0.597, 0.194, 0.250], [0.489, 0.979, 0.390], [0.511, 0.021, 0.610], [0.511, 0.021, 0.890], [0.489, 0.979, 0.110], [0.331, 0.662, 0.415], [0.669, 0.338, 0.585], [0.197, 0.395, 0.376], [0.803, 0.605, 0.624], [0.803, 0.605, 0.876], [0.197, 0.395, 0.124], [0.331, 0.662, 0.085], [0.669, 0.338, 0.915], [0.905, 0.809, 0.250], [0.095, 0.191, 0.750], [0.087, 0.174, 0.466], [0.913, 0.826, 0.534], [0.226, 0.453, 0.750], [0.774, 0.547, 0.250], [0.087, 0.174, 0.034], [0.913, 0.826, 0.966]]
}



{
  "formula": "Li6CdPd4",
  "functional": "GGA-PBE",
  "state": "relaxed",
  "dos_ef_per_ev_atom": 0.32,
  "magmom_total_mub_per_atom": 0.00,
  "dft_energy_ha_per_atom": -0.119,
  "lattice": [[-2.803, -4.581, -4.199], [4.407, -1.052, 5.094], [-2.835, 3.157, 5.336]],
  "species": ["Li", "Li", "Li", "Li", "Li", "Li", "Cd", "Pd", "Pd", "Pd", "Pd"],
  "fractional_positions": [[0.000, 0.927, 0.438], [0.000, 0.438, 0.927], [0.511, 0.073, 0.073], [0.500, 0.000, 0.500], [0.489, 0.562, 0.562], [0.500, 0.500, 0.000], [0.000, 0.000, 0.000], [0.000, 0.242, 0.583], [0.659, 0.417, 0.417], [0.000, 0.583, 0.242], [0.341, 0.758, 0.758]]
}



{
  "formula": "Li12Cd7Pd",
  "functional": "GGA-PBE",
  "state": "relaxed",
  "dos_ef_per_ev_atom": 0.50,
  "magmom_total_mub_per_atom": 0.00,
  "dft_energy_ha_per_atom": -0.071,
  "lattice": [[-0.660, -6.962, -1.905], [7.144, 0.422, 1.148], [-2.460, -0.217, 6.815]],
  "species": ["Li", "Li", "Li", "Li", "Li", "Li", "Li", "Li", "Li", "Li", "Li", "Li", "Cd", "Cd", "Cd", "Cd", "Cd", "Cd", "Cd", "Pd"],
  "fractional_positions": [[0.000, 0.246, 0.754], [0.754, 0.246, 0.000], [0.600, 0.169, 0.601], [0.831, 0.399, 0.400], [0.246, 0.000, 0.754], [0.399, 0.400, 0.831], [0.601, 0.600, 0.169], [0.754, 0.000, 0.246], [0.169, 0.601, 0.600], [0.400, 0.831, 0.399], [0.246, 0.754, 0.000], [0.000, 0.754, 0.246], [0.849, 0.577, 0.849], [0.423, 0.151, 0.151], [0.151, 0.151, 0.423], [0.500, 0.500, 0.500], [0.849, 0.849, 0.577], [0.577, 0.849, 0.849], [0.151, 0.423, 0.151], [0.000, 0.000, 0.000]]
}



{
  "formula": "Li2Cd7Pd2",
  "functional": "GGA-PBE",
  "state": "relaxed",
  "dos_ef_per_ev_atom": 0.30,
  "magmom_total_mub_per_atom": 0.00,
  "dft_energy_ha_per_atom": -0.078,
  "lattice": [[4.627, 0.000, 0.000], [2.313, 7.042, -0.304], [2.313, 3.072, 6.344]],
  "species": ["Li", "Li", "Cd", "Cd", "Cd", "Cd", "Cd", "Cd", "Cd", "Pd", "Pd"],
  "fractional_positions": [[0.000, 0.622, 0.378], [0.500, 0.312, 0.688], [0.846, 0.072, 0.235], [0.861, 0.457, 0.821], [0.500, 0.962, 0.038], [0.633, 0.491, 0.242], [0.367, 0.758, 0.509], [0.154, 0.765, 0.928], [0.139, 0.179, 0.543], [0.718, 0.900, 0.665], [0.282, 0.335, 0.100]]
}



{
  "formula": "Li8Cd2Pd",
  "functional": "GGA-PBE",
  "state": "relaxed",
  "dos_ef_per_ev_atom": 0.40,
  "magmom_total_mub_per_atom": 0.00,
  "dft_energy_ha_per_atom": -0.082,
  "lattice": [[3.913, 0.000, -1.125], [-0.642, 6.193, -2.234], [0.055, 0.500, 7.560]],
  "species": ["Li", "Li", "Li", "Li", "Li", "Li", "Li", "Li", "Cd", "Cd", "Pd"],
  "fractional_positions": [[0.590, 0.430, 0.180], [0.327, 0.093, 0.655], [0.132, 0.167, 0.265], [0.039, 0.747, 0.078], [0.868, 0.833, 0.735], [0.673, 0.907, 0.345], [0.410, 0.570, 0.820], [0.961, 0.253, 0.922], [0.220, 0.645, 0.440], [0.780, 0.355, 0.560], [0.500, 0.000, 0.000]]
}



{
  "formula": "LiCdPd3",
  "functional": "GGA-PBE",
  "state": "relaxed",
  "dos_ef_per_ev_atom": 0.70,
  "magmom_total_mub_per_atom": 0.00,
  "dft_energy_ha_per_atom": -0.147,
  "lattice": [[4.445, 0.000, 0.940], [0.000, 5.661, 0.000], [0.907, 0.000, 6.733]],
  "species": ["Li", "Li", "Cd", "Cd", "Pd", "Pd", "Pd", "Pd", "Pd", "Pd"],
  "fractional_positions": [[0.628, 0.750, 0.245], [0.372, 0.250, 0.755], [0.381, 0.750, 0.738], [0.619, 0.250, 0.262], [0.186, 0.999, 0.127], [0.814, 0.001, 0.873], [0.186, 0.501, 0.127], [0.814, 0.499, 0.873], [0.004, 0.750, 0.494], [0.996, 0.250, 0.506]]
}



{
  "formula": "Li7Cd2Pd",
  "functional": "GGA-PBE",
  "state": "relaxed",
  "dos_ef_per_ev_atom": 0.42,
  "magmom_total_mub_per_atom": 0.00,
  "dft_energy_ha_per_atom": -0.081,
  "lattice": [[4.501, 0.000, 0.000], [-2.250, 3.898, 0.000], [0.000, 0.000, 10.149]],
  "species": ["Li", "Li", "Li", "Li", "Li", "Li", "Li", "Cd", "Cd", "Pd"],
  "fractional_positions": [[0.333, 0.667, 0.391], [0.333, 0.667, 0.142], [0.000, 0.000, 0.336], [0.000, 0.000, 0.778], [0.667, 0.333, 0.536], [0.667, 0.333, 0.945], [0.333, 0.667, 0.918], [0.667, 0.333, 0.222], [0.333, 0.667, 0.655], [0.000, 0.000, 0.060]]
}



{
  "formula": "LiCd2Pd6",
  "functional": "GGA-PBE",
  "state": "relaxed",
  "dos_ef_per_ev_atom": 0.41,
  "magmom_total_mub_per_atom": 0.00,
  "dft_energy_ha_per_atom": -0.154,
  "lattice": [[4.096, 0.000, 0.000], [0.000, 8.397, 0.000], [0.001, 0.000, 8.397]],
  "species": ["Li", "Li", "Cd", "Cd", "Cd", "Cd", "Pd", "Pd", "Pd", "Pd", "Pd", "Pd", "Pd", "Pd", "Pd", "Pd", "Pd", "Pd"],
  "fractional_positions": [[0.500, 0.500, 0.000], [0.000, 0.000, 0.500], [0.000, 0.324, 0.824], [0.500, 0.824, 0.676], [0.500, 0.176, 0.324], [0.000, 0.676, 0.176], [0.000, 0.009, 0.167], [0.000, 0.667, 0.509], [0.000, 0.655, 0.845], [0.500, 0.155, 0.655], [0.500, 0.167, 0.991], [0.500, 0.509, 0.333], [0.000, 0.991, 0.833], [0.000, 0.333, 0.491], [0.000, 0.345, 0.155], [0.500, 0.845, 0.345], [0.500, 0.833, 0.009], [0.500, 0.491, 0.667]]
}



{
  "formula": "Li3Cd12Pd",
  "functional": "GGA-PBE",
  "state": "relaxed",
  "dos_ef_per_ev_atom": 0.37,
  "magmom_total_mub_per_atom": 0.00,
  "dft_energy_ha_per_atom": -0.056,
  "lattice": [[4.327, 0.000, 0.000], [0.000, 4.327, 0.000], [0.000, 0.000, 17.293]],
  "species": ["Li", "Li", "Li", "Cd", "Cd", "Cd", "Cd", "Cd", "Cd", "Cd", "Cd", "Cd", "Cd", "Cd", "Cd", "Pd"],
  "fractional_positions": [[0.000, 0.000, 0.245], [0.000, 0.000, 0.500], [0.000, 0.000, 0.755], [0.500, 0.500, 0.000], [0.500, 0.500, 0.246], [0.500, 0.500, 0.500], [0.500, 0.500, 0.754], [0.500, 0.000, 0.120], [0.500, 0.000, 0.372], [0.500, 0.000, 0.628], [0.500, 0.000, 0.880], [0.000, 0.500, 0.120], [0.000, 0.500, 0.372], [0.000, 0.500, 0.628], [0.000, 0.500, 0.880], [0.000, 0.000, 0.000]]
}



{
  "formula": "Li5Cd3Pd4",
  "functional": "GGA-PBE",
  "state": "relaxed",
  "dos_ef_per_ev_atom": 0.28,
  "magmom_total_mub_per_atom": 0.00,
  "dft_energy_ha_per_atom": -0.111,
  "lattice": [[4.636, 0.000, 0.000], [2.318, 5.604, -2.985], [2.318, -1.288, 8.594]],
  "species": ["Li", "Li", "Li", "Li", "Li", "Cd", "Cd", "Cd", "Pd", "Pd", "Pd", "Pd"],
  "fractional_positions": [[0.595, 0.962, 0.847], [0.500, 0.500, 0.500], [0.203, 0.495, 0.099], [0.797, 0.505, 0.901], [0.405, 0.038, 0.153], [0.419, 0.812, 0.350], [0.000, 0.500, 0.500], [0.581, 0.188, 0.650], [0.806, 0.269, 0.118], [0.136, 0.001, 0.727], [0.864, 0.999, 0.273], [0.194, 0.731, 0.882]]
}



{
  "formula": "Li8CdPd5",
  "functional": "GGA-PBE",
  "state": "relaxed",
  "dos_ef_per_ev_atom": 0.36,
  "magmom_total_mub_per_atom": 0.00,
  "dft_energy_ha_per_atom": -0.120,
  "lattice": [[6.494, -0.128, 0.220], [-2.318, 6.068, -0.220], [-1.859, -3.131, 5.383]],
  "species": ["Li", "Li", "Li", "Li", "Li", "Li", "Li", "Li", "Cd", "Pd", "Pd", "Pd", "Pd", "Pd"],
  "fractional_positions": [[0.142, 0.754, 0.081], [0.919, 0.061, 0.673], [0.732, 0.255, 0.330], [0.670, 0.402, 0.926], [0.524, 0.598, 0.268], [0.612, 0.939, 0.858], [0.327, 0.246, 0.388], [0.074, 0.745, 0.476], [0.250, 0.500, 0.750], [0.062, 0.355, 0.142], [0.858, 0.920, 0.213], [0.787, 0.645, 0.707], [0.500, 0.000, 0.500], [0.293, 0.080, 0.938]]
}



{
  "formula": "Li2Cd5Pd5",
  "functional": "GGA-PBE",
  "state": "relaxed",
  "dos_ef_per_ev_atom": 0.32,
  "magmom_total_mub_per_atom": 0.00,
  "dft_energy_ha_per_atom": -0.119,
  "lattice": [[3.868, 0.000, 0.873], [2.068, 8.249, -0.159], [0.542, -1.083, 6.605]],
  "species": ["Li", "Li", "Cd", "Cd", "Cd", "Cd", "Cd", "Pd", "Pd", "Pd", "Pd", "Pd"],
  "fractional_positions": [[0.332, 0.507, 0.830], [0.668, 0.493, 0.170], [0.669, 0.253, 0.409], [0.992, 0.259, 0.757], [0.008, 0.741, 0.243], [0.331, 0.747, 0.591], [0.000, 0.000, 0.000], [0.000, 0.500, 0.500], [0.674, 0.736, 0.916], [0.338, 0.996, 0.328], [0.662, 0.004, 0.672], [0.326, 0.264, 0.084]]
}



{
  "formula": "Li2CdPd4",
  "functional": "GGA-PBE",
  "state": "relaxed",
  "dos_ef_per_ev_atom": 0.44,
  "magmom_total_mub_per_atom": 0.00,
  "dft_energy_ha_per_atom": -0.140,
  "lattice": [[5.039, 0.097, -1.714], [-2.484, 4.311, -1.894], [0.056, -0.097, 5.322]],
  "species": ["Li", "Li", "Cd", "Pd", "Pd", "Pd", "Pd"],
  "fractional_positions": [[0.500, 0.500, 0.000], [0.500, 0.000, 0.500], [0.000, 0.000, 0.000], [0.500, 0.000, 0.000], [0.500, 0.500, 0.500], [0.000, 0.000, 0.500], [0.000, 0.500, 0.000]]
}



{
  "formula": "Li2Cd6Pd",
  "functional": "GGA-PBE",
  "state": "relaxed",
  "dos_ef_per_ev_atom": 0.31,
  "magmom_total_mub_per_atom": 0.00,
  "dft_energy_ha_per_atom": -0.068,
  "lattice": [[4.596, 0.000, 0.000], [-2.298, 5.220, -1.130], [0.000, -3.810, 7.946]],
  "species": ["Li", "Li", "Cd", "Cd", "Cd", "Cd", "Cd", "Cd", "Pd"],
  "fractional_positions": [[0.659, 0.318, 0.817], [0.341, 0.682, 0.183], [0.016, 0.032, 0.838], [0.677, 0.354, 0.161], [0.323, 0.646, 0.839], [0.659, 0.317, 0.501], [0.341, 0.683, 0.499], [0.984, 0.968, 0.162], [0.000, 0.000, 0.500]]
}